Entry 1:
# KIr2Au

An optimized crystal structure of KIr2Au (PBE, the Alexandria database).

final energy	-4.496	eV per atom
M_tot	1.84	μB/cell
DFT formation energy	1.03	eV per atom
ρ	13.96	g/cm3

Unit cell a=4.708 b=4.708 c=4.708 alpha=60.00 beta=60.00 gamma=60.00
Element x y z (fractional)
K  0.000  0.000  0.000
Ir  0.250  0.250  0.250
Ir  0.500  0.500  0.500
Au  0.750  0.750  0.750

---

Entry 2:
# Pr2Tm4Ge3O2

An optimized crystal structure of Pr2Tm4Ge3O2 (PBE, the Alexandria database).

final energy	-6.264	eV per atom
M_tot	1.06	μB/cell
ρ	8.17	g/cm3

Unit cell a=12.445 b=12.445 c=12.445 alpha=159.09 beta=159.09 gamma=29.74
Element x y z (fractional)
Pr  0.198  0.198  0.000
Pr  0.802  0.802  0.000
Tm  0.079  0.579  0.500
Tm  0.421  0.921  0.500
Tm  0.579  0.079  0.500
Tm  0.921  0.421  0.500
Ge  0.331  0.331  0.000
Ge  0.500  0.500  0.000
Ge  0.669  0.669  0.000
O  0.088  0.088  0.000
O  0.912  0.912  0.000

---

Entry 3:
# Nd6Zn5Ni

An optimized crystal structure of Nd6Zn5Ni (PBE, the Alexandria database).

final energy	-3.685	eV per atom
M_tot	0.00	μB/cell
DFT formation energy	-0.29	eV per atom
ρ	7.08	g/cm3

Unit cell a=8.949 b=8.949 c=8.949 alpha=146.42 beta=131.68 gamma=60.12
Element x y z (fractional)
Nd  0.081  0.338  0.743
Nd  0.239  0.000  0.239
Nd  0.405  0.662  0.743
Nd  0.595  0.338  0.257
Nd  0.761  0.000  0.761
Nd  0.919  0.662  0.257
Zn  0.178  0.178  0.000
Zn  0.332  0.832  0.500
Zn  0.500  0.500  0.000
Zn  0.668  0.168  0.500
Zn  0.822  0.822  0.000
Ni  0.000  0.500  0.500

---

Entry 4:
# BaGaF6

An optimized crystal structure of BaGaF6 (PBE, the Alexandria database).

final energy	-4.784	eV per atom
M_tot	1.03	μB/cell
ρ	4.49	g/cm3

Unit cell a=4.939 b=4.939 c=5.003 alpha=97.38 beta=97.38 gamma=97.01
Element x y z (fractional)
Ba  0.000  0.000  0.000
Ga  0.500  0.500  0.500
F  0.221  0.574  0.227
F  0.225  0.225  0.580
F  0.426  0.779  0.773
F  0.574  0.221  0.227
F  0.775  0.775  0.420
F  0.779  0.426  0.773

---

Entry 5:
# PrDyEr2In4

An optimized crystal structure of PrDyEr2In4 (PBE, the Alexandria database).

final energy	-4.137	eV per atom
M_tot	0.00	μB/cell
DFT formation energy	-0.45	eV per atom
ρ	8.40	g/cm3

Unit cell a=9.287 b=9.287 c=9.287 alpha=33.45 beta=33.45 gamma=33.45
Element x y z (fractional)
Pr  0.000  0.000  0.000
Dy  0.500  0.500  0.500
Er  0.250  0.250  0.250
Er  0.750  0.750  0.750
In  0.127  0.127  0.127
In  0.377  0.377  0.377
In  0.623  0.623  0.623
In  0.873  0.873  0.873

---

Entry 6:
# Er2UAg2S6

An optimized crystal structure of Er2UAg2S6 (PBE, the Alexandria database).

final energy	-5.937	eV per atom
M_tot	2.00	μB/cell
ρ	6.01	g/cm3

Unit cell a=6.953 b=6.953 c=6.551 alpha=93.88 beta=93.88 gamma=120.35
Element x y z (fractional)
Er  0.164  0.836  0.000
Er  0.836  0.164  0.000
U  0.500  0.500  0.000
Ag  0.376  0.624  0.500
Ag  0.624  0.376  0.500
S  0.138  0.474  0.781
S  0.201  0.201  0.222
S  0.474  0.138  0.781
S  0.526  0.862  0.219
S  0.799  0.799  0.778
S  0.862  0.526  0.219

---

Entry 7:
# ZrSc2Ru

An optimized crystal structure of ZrSc2Ru (PBE, the Alexandria database).

final energy	-7.812	eV per atom
M_tot	0.00	μB/cell
DFT formation energy	-0.19	eV per atom
ρ	5.89	g/cm3

Unit cell a=3.201 b=4.440 c=5.819 alpha=90.00 beta=105.87 gamma=90.00
Element x y z (fractional)
Zr  0.000  0.000  0.000
Sc  0.333  0.500  0.726
Sc  0.667  0.500  0.274
Ru  0.500  0.000  0.500

---

Entry 8:
# CeMgCoNi

An optimized crystal structure of CeMgCoNi (PBE, the Alexandria database).

final energy	-5.222	eV per atom
M_tot	0.00	μB/cell
DFT formation energy	-0.12	eV per atom
ρ	6.87	g/cm3

Unit cell a=4.585 b=4.585 c=4.585 alpha=60.00 beta=60.00 gamma=60.00
Element x y z (fractional)
Ce  0.000  0.000  0.000
Mg  0.500  0.500  0.500
Co  0.750  0.750  0.750
Ni  0.250  0.250  0.250